The following is a DFT calculation (PBE) of a relaxed structure of P.

The calculation puts the formation energy from the elements at 32.1 kJ/mol of formula units. The polymorph energy (0 for the lowest one) comes out at 333 meV per atom.

Geometry as CIF:
```
data_P
_cell_length_a 4.1483
_cell_length_b 4.1483
_cell_length_c 4.5891
_cell_angle_alpha 90.00
_cell_angle_beta 90.00
_cell_angle_gamma 120.00
_space_group_name_H-M_alt 'P 63/m m c'
_space_group_IT_number 194
_space_group_name_Hall '-P 6c 2c'
loop_
_atom_site_label
_atom_site_type_symbol
_atom_site_fract_x
_atom_site_fract_y
_atom_site_fract_z
P1 P 0.3333 0.6667 0.0007
```